Computed, not measured: crystalline RbFeSn2F8 at its relaxed geometry at the GGA+U level of DFT.

Properties
Energy ... -0.3607 Ry per atom
Crystal system ... triclinic
N(E_F) ... 0.0 states/eV/cell

Unit cell a=5.492 b=5.294 c=7.725 alpha=91.10 beta=94.43 gamma=85.91
Last column: magnetic moment on the atom in μB.
Sites, in units of the cell vectors:
F: 0.216 0.846 0.831  0.08
F: 0.254 0.229 0.081  0.06
F: 0.784 0.154 0.169  0.08
F: 0.638 0.689 0.556  0.00
F: 0.126 0.756 0.183  0.07
F: 0.746 0.771 0.919  0.06
F: 0.874 0.244 0.817  0.07
F: 0.362 0.311 0.444  0.00
Rb: 0.000 0.000 0.500  0.00
Sn: 0.482 0.490 0.231  0.01
Sn: 0.518 0.510 0.769  0.01
Fe: 0.000 0.000 0.000  4.45